1) The following is a DFT calculation (SCAN) of a PBEsol-optimized structure of LiMoPO5.

Cell: 7.3329 6.5485 7.3812 Å, 90.00 90.00 90.00°
Closest atoms and distances in Å follow each position.
Space group Pnma (No. 62)
Asymmetric unit:
Li (0.0000, 0.0000, 0.0000) x4  6 O 2.05-2.25
Mo (0.1408, 0.2500, 0.2689) x4  5 O 1.90-2.06
P (0.1297, 0.7500, 0.3650) x4  4 O 1.54-1.56
O (0.0457, 0.2500, 0.5210) x4  1 P 1.54
O (0.1059, 0.7500, 0.8203) x4  2 Mo 1.90-1.93
O (0.1320, 0.5620, 0.2389) x8  1 P 1.54
O (0.1971, 0.2500, 0.9867) x4  1 P 1.56

Output
- size of the total moment (μB per formula unit) = 2.00
- density (Mg/m³) = 4.01


2) The following is a DFT calculation (SCAN) of a PBEsol-optimized structure of LiMoPO5.

Cell: 7.0406 7.2343 7.9490 Å, 89.82 87.77 63.31°
Closest atoms and distances in Å follow each position.
Space group P-1 (No. 2)
Asymmetric unit:
Li (0.1881, 0.2988, 0.4354) x2  5 O 2.05-2.29
Li (0.3013, 0.7754, 0.0662) x2  4 O 1.96-2.10
Mo (0.2516, 0.5008, 0.7531) x2  6 O 1.89-2.11
Mo (0.2519, 0.9976, 0.7468) x2  6 O 1.88-2.09
P (0.2271, 0.7434, 0.4023) x2  4 O 1.53-1.57
P (0.2744, 0.2470, 0.0978) x2  4 O 1.54-1.56
O (0.0627, 0.4022, 0.1824) x2  1 P 1.54
O (0.0784, 0.8449, 0.2560) x2  1 P 1.55
O (0.1363, 0.6224, 0.5167) x2  1 P 1.57
O (0.2307, 0.7598, 0.8329) x2  2 Mo 1.91-1.92, 1 Li 1.96
O (0.2525, 0.0729, 0.0009) x2  1 P 1.55
O (0.2546, 0.9089, 0.5055) x2  1 P 1.54
O (0.2613, 0.2454, 0.6875) x2  2 Mo 1.88-1.89, 1 Li 2.08
O (0.3681, 0.3605, 0.9803) x2  1 P 1.55
O (0.4198, 0.1568, 0.2495) x2  1 P 1.56
O (0.4382, 0.5906, 0.3162) x2  1 P 1.53

Output
- size of the total moment (μB per formula unit) = 2.00
- density (Mg/m³) = 3.93


Winner for stability: 2)


1) The following is a DFT calculation (SCAN) of a PBEsol-optimized structure of LiMoP2O8.

Cell: 5.1421 10.6430 11.2054 Å, 90.00 90.00 90.00°
Closest atoms and distances in Å follow each position.
Space group P2_12_12_1 (No. 19)
Asymmetric unit:
Li (0.2253, 0.2440, 0.0873) x4  3 O 1.87-2.02
Mo (0.2276, 0.9090, 0.8511) x4  1 O 1.66
P (0.2020, 0.5923, 0.9620) x4  4 O 1.50-1.60
P (0.2386, 0.6393, 0.3275) x4  4 O 1.51-1.61
O (0.0220, 0.8279, 0.7069) x4  1 P 1.55
O (0.0500, 0.6631, 0.2247) x4  1 P 1.53
O (0.0678, 0.0459, 0.4974) x4  1 P 1.54
O (0.0953, 0.4419, 0.5560) x4  1 P 1.53
O (0.1464, 0.7038, 0.4397) x4  1 P 1.51
O (0.2063, 0.7269, 0.9226) x4  1 P 1.50
O (0.2332, 0.4892, 0.3453) x4  2 P 1.60-1.61
O (0.2439, 0.0487, 0.7852) x4  1 Mo 1.66

Output
- size of the total moment (μB per formula unit) = 1.00
- density (Mg/m³) = 3.17


2) The following is a DFT calculation (SCAN) of a PBEsol-optimized structure of LiMoP2O8.

Cell: 9.0669 4.6906 13.6089 Å, 90.00 95.43 90.00°
Closest atoms and distances in Å follow each position.
Space group C2/c (No. 15)
Asymmetric unit:
Li (0.0000, 0.0828, 0.2500) x4  2 O 1.95
Mo (0.0000, 0.0000, 0.0000) x4  6 O 1.90-2.00
P (0.1613, 0.4777, 0.8795) x8  4 O 1.48-1.58
O (0.0661, 0.1977, 0.8813) x8  1 P 1.57
O (0.1028, 0.3293, 0.4626) x8  1 P 1.58
O (0.1514, 0.3716, 0.2835) x8  1 P 1.48
O (0.1782, 0.1104, 0.0811) x8  1 P 1.56

Output
- size of the total moment (μB per formula unit) = 1.00
- density (Mg/m³) = 3.38


Winner for stability: 1)


1) The following is a DFT calculation (SCAN) of a PBEsol-optimized structure of LiMo2Os.

Cell: 6.0853 6.0853 6.0853 Å, 90.00 90.00 90.00°
Closest atoms and distances in Å follow each position.
Space group Fm-3m (No. 225)
Asymmetric unit:
Li (0.0000, 0.0000, 0.0000) x4  8 Mo 2.63
Mo (0.2500, 0.2500, 0.2500) x8  4 Li 2.63, 4 Os 2.63
Os (0.0000, 0.0000, 0.5000) x4  8 Mo 2.63

Output
- size of the total moment (μB per formula unit) = 0.00
- density (Mg/m³) = 11.47


2) The following is a DFT calculation (SCAN) of a PBEsol-optimized structure of LiMo2Os.

Cell: 3.8545 3.8545 3.7611 Å, 90.00 90.00 90.00°
Closest atoms and distances in Å follow each position.
Space group P4/mmm (No. 123)
Asymmetric unit:
Li (0.0000, 0.0000, 0.0000) x1  8 Mo 2.69, 4 Os 2.73
Mo (0.0000, 0.5000, 0.5000) x2  4 Li 2.69, 4 Os 2.69, 4 Mo 2.73
Os (0.5000, 0.5000, 0.0000) x1  8 Mo 2.69, 4 Li 2.73

Output
- size of the total moment (μB per formula unit) = 0.00
- density (Mg/m³) = 11.56


3) The following is a DFT calculation (SCAN) of a PBEsol-optimized structure of LiMo2Os.

Cell: 6.0626 6.0626 6.0626 Å, 90.00 90.00 90.00°
Closest atoms and distances in Å follow each position.
Space group F-43m (No. 216)
Asymmetric unit:
Li (0.0000, 0.0000, 0.0000) x4  4 Mo 2.63, 4 Os 2.63
Mo (0.0000, 0.0000, 0.5000) x4  4 Os 2.63, 4 Mo 2.63
Mo (0.2500, 0.2500, 0.2500) x4  4 Mo 2.63, 4 Li 2.63
Os (0.2500, 0.2500, 0.7500) x4  4 Mo 2.63, 4 Li 2.63

Output
- size of the total moment (μB per formula unit) = 0.00
- density (Mg/m³) = 11.60


Winner for stability: 3)


1) The following is a DFT calculation (SCAN) of a PBEsol-optimized structure of LiMoP2.

Cell: 4.0040 3.1423 8.6309 Å, 90.00 90.00 90.00°
Closest atoms and distances in Å follow each position.
Space group Amm2 (No. 38)
Asymmetric unit:
Li (0.0000, 0.0000, 0.0000) x2  7 P 2.37-2.58
Mo (0.5000, 0.0000, 0.2631) x2  7 P 2.42-2.57
P (0.0000, 0.0000, 0.7253) x2  3 Li 2.37-2.50, 2 P 2.51, 4 Mo 2.57
P (0.5000, 0.0000, 0.5493) x2  3 Mo 2.42-2.47, 2 P 2.51, 4 Li 2.58

Output
- size of the total moment (μB per formula unit) = 0.00
- density (Mg/m³) = 5.04


2) The following is a DFT calculation (SCAN) of a PBEsol-optimized structure of LiMoP2.

Cell: 5.9039 5.9039 5.9039 Å, 90.00 90.00 90.00°
Closest atoms and distances in Å follow each position.
Space group F-43m (No. 216)
Asymmetric unit:
Li (0.0000, 0.0000, 0.0000) x4  4 P 2.56, 4 Mo 2.56
Mo (0.2500, 0.2500, 0.2500) x4  4 Li 2.56, 4 P 2.56
P (0.0000, 0.0000, 0.5000) x4  4 Mo 2.56, 4 P 2.56
P (0.2500, 0.2500, 0.7500) x4  4 Li 2.56, 4 P 2.56

Output
- size of the total moment (μB per formula unit) = 0.00
- density (Mg/m³) = 5.32


Winner for stability: 1)


1) The following is a DFT calculation (SCAN) of a PBEsol-optimized structure of LiMoPt.

Cell: 2.7222 2.7222 6.9814 Å, 90.00 90.00 120.00°
Closest atoms and distances in Å follow each position.
Space group P3m1 (No. 156)
Asymmetric unit:
Li (0.0000, 0.0000, 0.0000) x1  3 Pt 2.71, 6 Li 2.72, 3 Mo 2.99
Mo (0.6667, 0.3333, 0.6353) x1  6 Mo 2.72, 3 Pt 2.73, 3 Li 2.99
Pt (0.3333, 0.6667, 0.3153) x1  3 Li 2.71, 6 Pt 2.72, 3 Mo 2.73

Output
- size of the total moment (μB per formula unit) = 0.00
- density (Mg/m³) = 11.04


2) The following is a DFT calculation (SCAN) of a PBEsol-optimized structure of LiMoPt.

Cell: 2.6738 3.9981 7.8156 Å, 90.00 90.00 90.00°
Closest atoms and distances in Å follow each position.
Space group Imm2 (No. 44)
Asymmetric unit:
Li (0.0000, 0.0000, 0.0000) x2  5 Mo 2.54-2.77, 5 Pt 2.64-2.72, 2 Li 2.67
Mo (0.0000, 0.0000, 0.3244) x2  5 Li 2.54-2.77, 5 Pt 2.65-2.72, 2 Mo 2.67
Pt (0.0000, 0.0000, 0.6628) x2  5 Li 2.64-2.72, 5 Mo 2.65-2.72, 2 Pt 2.67

Output
- size of the total moment (μB per formula unit) = 0.00
- density (Mg/m³) = 11.84


Winner for stability: 2)


1) The following is a DFT calculation (SCAN) of a PBEsol-optimized structure of Li2MoPt.

Cell: 2.5789 2.5789 8.5798 Å, 90.00 90.00 90.00°
Closest atoms and distances in Å follow each position.
Space group P4/mmm (No. 123)
Asymmetric unit:
Li (0.0000, 0.0000, 0.2239) x2  4 Li 2.58, 4 Pt 2.65
Mo (0.5000, 0.5000, 0.5000) x1  4 Mo 2.58
Pt (0.5000, 0.5000, 0.0000) x1  4 Pt 2.58, 8 Li 2.65

Output
- size of the total moment (μB per formula unit) = 0.00
- density (Mg/m³) = 8.87


2) The following is a DFT calculation (SCAN) of a PBEsol-optimized structure of Li2MoPt.

Cell: 8.8523 2.6481 5.0197 Å, 90.00 96.72 90.00°
Closest atoms and distances in Å follow each position.
Space group Cm (No. 8)
Asymmetric unit:
Li (0.0000, 0.0000, 0.0000) x2  5 Li 2.44-2.72
Li (0.2416, 0.0000, 0.8094) x2  5 Li 2.44-2.72
Mo (0.4805, 0.0000, 0.4779) x2  3 Pt 2.48-2.64, 2 Mo 2.65, 2 Li 2.76
Pt (0.2312, 0.5000, 0.3020) x2  3 Mo 2.48-2.64, 2 Pt 2.65, 2 Li 2.74

Output
- size of the total moment (μB per formula unit) = 0.00
- density (Mg/m³) = 8.67


Winner for stability: 2)


1) The following is a DFT calculation (SCAN) of a PBEsol-optimized structure of LiMo2Pt.

Cell: 6.1100 6.1100 6.1100 Å, 90.00 90.00 90.00°
Closest atoms and distances in Å follow each position.
Space group F-43m (No. 216)
Asymmetric unit:
Li (0.0000, 0.0000, 0.0000) x4  4 Mo 2.65, 4 Pt 2.65
Mo (0.0000, 0.0000, 0.5000) x4  4 Pt 2.65, 4 Mo 2.65
Mo (0.2500, 0.2500, 0.7500) x4  4 Mo 2.65, 4 Li 2.65
Pt (0.2500, 0.2500, 0.2500) x4  4 Li 2.65, 4 Mo 2.65

Output
- size of the total moment (μB per formula unit) = 0.00
- density (Mg/m³) = 11.47


2) The following is a DFT calculation (SCAN) of a PBEsol-optimized structure of LiMo2Pt.

Cell: 6.1385 6.1385 6.1385 Å, 90.00 90.00 90.00°
Closest atoms and distances in Å follow each position.
Space group Fm-3m (No. 225)
Asymmetric unit:
Li (0.0000, 0.0000, 0.0000) x4  8 Mo 2.66
Mo (0.2500, 0.2500, 0.2500) x8  4 Li 2.66, 4 Pt 2.66
Pt (0.0000, 0.0000, 0.5000) x4  8 Mo 2.66

Output
- size of the total moment (μB per formula unit) = 0.00
- density (Mg/m³) = 11.31


Winner for stability: 1)


1) The following is a DFT calculation (SCAN) of a PBEsol-optimized structure of LiMo2Pt.

Cell: 3.0496 4.0954 4.5372 Å, 90.00 90.00 90.00°
Closest atoms and distances in Å follow each position.
Space group Pmmm (No. 47)
Asymmetric unit:
Li (0.0000, 0.0000, 0.0000) x1  4 Pt 2.55, 4 Mo 2.73
Mo (0.0000, 0.5000, 0.5000) x1  4 Mo 2.55, 4 Pt 2.73
Mo (0.5000, 0.0000, 0.5000) x1  4 Mo 2.55, 4 Li 2.73
Pt (0.5000, 0.5000, 0.0000) x1  4 Li 2.55, 4 Mo 2.73

Output
- size of the total moment (μB per formula unit) = 0.00
- density (Mg/m³) = 11.54


2) The following is a DFT calculation (SCAN) of a PBEsol-optimized structure of LiMo2Pt.

Cell: 3.3702 3.3702 5.0926 Å, 90.00 90.00 90.00°
Closest atoms and distances in Å follow each position.
Space group P4/mmm (No. 123)
Asymmetric unit:
Li (0.0000, 0.0000, 0.0000) x1  2 Pt 2.55, 8 Mo 2.64
Mo (0.5000, 0.5000, 0.2241) x2  1 Mo 2.28
Pt (0.0000, 0.0000, 0.5000) x1  2 Li 2.55, 8 Mo 2.77

Output
- size of the total moment (μB per formula unit) = 0.00
- density (Mg/m³) = 11.31


Winner for stability: 1)